1.
# PBE TbDy3Pt4, relaxed
data_TbDy3Pt4
_chemical_formula_sum 'Tb1 Dy3 Pt4'
_space_group_name_H-M_alt 'P 1'
_space_group_IT_number 1
_cell_length_a 5.573
_cell_length_b 4.507
_cell_length_c 7.036
_cell_angle_alpha 90.00
_cell_angle_beta 90.08
_cell_angle_gamma 90.00
loop_
_space_group_symop_operation_xyz
'x,y,z'
loop_
_atom_site_label
_atom_site_fract_x
_atom_site_fract_y
_atom_site_fract_z
Dy1 0.360 0.500 0.182
Dy2 0.140 0.500 0.682
Dy3 0.640 0.000 0.818
Pt1 0.845 0.500 0.044
Pt2 0.345 0.000 0.456
Pt3 0.655 0.500 0.546
Pt4 0.156 0.000 0.955
Tb1 0.860 0.000 0.318
# density = 13.41 g/cm³
# energy of formation from the pure elements = -1.28 eV per atom
# energy = -0.4863 Ry per atom

2.
# PBE LiScFeSn, relaxed
data_LiScFeSn
_chemical_formula_sum 'Li1 Sc1 Fe1 Sn1'
_space_group_name_H-M_alt 'P 1'
_space_group_IT_number 1
_cell_length_a 4.663
_cell_length_b 4.663
_cell_length_c 4.663
_cell_angle_alpha 60.00
_cell_angle_beta 60.00
_cell_angle_gamma 60.00
loop_
_space_group_symop_operation_xyz
'x,y,z'
loop_
_atom_site_label
_atom_site_fract_x
_atom_site_fract_y
_atom_site_fract_z
Fe1 0.750 0.750 0.750
Li1 0.000 0.000 0.000
Sc1 0.500 0.500 0.500
Sn1 0.250 0.250 0.250
# density = 5.25 g/cm³
# energy = -0.3825 Ry per atom
# energy above the lowest structure with this stoichiometry = 202.8 meV/atom

3.
# PBE CoSnIrOs, relaxed
data_CoSnIrOs
_chemical_formula_sum 'Co1 Sn1 Ir1 Os1'
_space_group_name_H-M_alt 'P 1'
_space_group_IT_number 1
_cell_length_a 4.414
_cell_length_b 4.414
_cell_length_c 4.414
_cell_angle_alpha 60.00
_cell_angle_beta 60.00
_cell_angle_gamma 60.00
loop_
_space_group_symop_operation_xyz
'x,y,z'
loop_
_atom_site_label
_atom_site_fract_x
_atom_site_fract_y
_atom_site_fract_z
Co1 0.750 0.750 0.750
Ir1 0.500 0.500 0.500
Os1 0.250 0.250 0.250
Sn1 0.000 0.000 0.000
# density = 15.29 g/cm³
# energy = -0.5437 Ry per atom
# energy above the lowest structure with this stoichiometry = 0.0 meV/atom

4.
# PBE LaCoB, relaxed
data_LaCoB
_chemical_formula_sum 'La1 Co1 B1'
_space_group_name_H-M_alt 'P 1'
_space_group_IT_number 1
_cell_length_a 4.400
_cell_length_b 4.400
_cell_length_c 4.400
_cell_angle_alpha 60.00
_cell_angle_beta 60.00
_cell_angle_gamma 60.00
loop_
_space_group_symop_operation_xyz
'x,y,z'
loop_
_atom_site_label
_atom_site_fract_x
_atom_site_fract_y
_atom_site_fract_z
B1 0.250 0.250 0.250
Co1 0.750 0.750 0.750
La1 0.000 0.000 0.000
# density = 5.75 g/cm³
# energy = -0.3662 Ry per atom
# energy above the lowest structure with this stoichiometry = 1658.7 meV/atom

5.
# PBE LaGdNi2P2, relaxed
data_LaGdNi2P2
_chemical_formula_sum 'La1 Gd1 Ni2 P2'
_space_group_name_H-M_alt 'P 1'
_space_group_IT_number 1
_cell_length_a 3.961
_cell_length_b 3.961
_cell_length_c 7.949
_cell_angle_alpha 90.00
_cell_angle_beta 90.00
_cell_angle_gamma 120.00
loop_
_space_group_symop_operation_xyz
'x,y,z'
loop_
_atom_site_label
_atom_site_fract_x
_atom_site_fract_y
_atom_site_fract_z
Gd1 0.000 0.000 0.000
La1 0.000 0.000 0.500
Ni1 0.333 0.667 0.243
Ni2 0.667 0.333 0.757
P1 0.667 0.333 0.236
P2 0.333 0.667 0.764
# density = 7.31 g/cm³
# energy = -0.4747 Ry per atom

6.
# PBE Nb2Re2O5, relaxed
data_Nb2Re2O5
_chemical_formula_sum 'Nb2 Re2 O5'
_space_group_name_H-M_alt 'P 1'
_space_group_IT_number 1
_cell_length_a 8.191
_cell_length_b 3.462
_cell_length_c 3.462
_cell_angle_alpha 90.00
_cell_angle_beta 90.00
_cell_angle_gamma 90.00
loop_
_space_group_symop_operation_xyz
'x,y,z'
loop_
_atom_site_label
_atom_site_fract_x
_atom_site_fract_y
_atom_site_fract_z
Nb1 0.192 0.500 0.500
Nb2 0.808 0.500 0.500
O1 0.329 0.500 0.000
O2 0.671 0.500 0.000
O3 0.329 0.000 0.500
O4 0.671 0.000 0.500
O5 0.500 0.500 0.500
Re1 0.000 0.000 0.000
Re2 0.500 0.000 0.000
# density = 10.80 g/cm³
# energy = -0.6138 Ry per atom
# energy above the lowest structure with this stoichiometry = 134.4 meV/atom

7.
# PBE Sb2Pt7, relaxed
data_Sb2Pt7
_chemical_formula_sum 'Sb2 Pt7'
_space_group_name_H-M_alt 'P 1'
_space_group_IT_number 1
_cell_length_a 2.976
_cell_length_b 2.976
_cell_length_c 31.243
_cell_angle_alpha 90.00
_cell_angle_beta 90.00
_cell_angle_gamma 120.00
loop_
_space_group_symop_operation_xyz
'x,y,z'
loop_
_atom_site_label
_atom_site_fract_x
_atom_site_fract_y
_atom_site_fract_z
Pt1 0.000 0.000 0.000
Pt2 0.667 0.333 0.068
Pt3 0.333 0.667 0.137
Pt4 0.000 0.000 0.208
Pt5 0.000 0.000 0.792
Pt6 0.667 0.333 0.863
Pt7 0.333 0.667 0.932
Sb1 0.667 0.333 0.278
Sb2 0.333 0.667 0.722
# density = 11.15 g/cm³
# energy = -0.4056 Ry per atom

8.
# PBE LiAlFeRe, relaxed
data_LiAlFeRe
_chemical_formula_sum 'Li1 Al1 Fe1 Re1'
_space_group_name_H-M_alt 'P 1'
_space_group_IT_number 1
_cell_length_a 4.190
_cell_length_b 4.190
_cell_length_c 4.190
_cell_angle_alpha 60.00
_cell_angle_beta 60.00
_cell_angle_gamma 60.00
loop_
_space_group_symop_operation_xyz
'x,y,z'
loop_
_atom_site_label
_atom_site_fract_x
_atom_site_fract_y
_atom_site_fract_z
Al1 0.000 0.000 0.000
Fe1 0.750 0.750 0.750
Li1 0.500 0.500 0.500
Re1 0.250 0.250 0.250
# density = 8.81 g/cm³
# energy = -0.4634 Ry per atom
# energy above the lowest structure with this stoichiometry = 359.4 meV/atom

9.
# PBE YHf2, relaxed
data_YHf2
_chemical_formula_sum 'Y2 Hf4'
_space_group_name_H-M_alt 'P 1'
_space_group_IT_number 1
_cell_length_a 6.059
_cell_length_b 6.059
_cell_length_c 6.059
_cell_angle_alpha 60.00
_cell_angle_beta 60.00
_cell_angle_gamma 60.00
loop_
_space_group_symop_operation_xyz
'x,y,z'
loop_
_atom_site_label
_atom_site_fract_x
_atom_site_fract_y
_atom_site_fract_z
Hf1 0.625 0.625 0.125
Hf2 0.625 0.125 0.625
Hf3 0.125 0.625 0.625
Hf4 0.625 0.625 0.625
Y1 0.000 0.000 0.000
Y2 0.250 0.250 0.250
# density = 9.42 g/cm³
# energy of formation from the pure elements = 0.31 eV per atom
# energy = -0.6236 Ry per atom
# energy above the lowest structure with this stoichiometry = 180.5 meV/atom

10.
# PBE LiNb2Al2ZnOs2, relaxed
data_LiNb2Al2ZnOs2
_chemical_formula_sum 'Li1 Nb2 Al2 Zn1 Os2'
_space_group_name_H-M_alt 'P 1'
_space_group_IT_number 1
_cell_length_a 4.381
_cell_length_b 4.381
_cell_length_c 6.228
_cell_angle_alpha 90.00
_cell_angle_beta 90.00
_cell_angle_gamma 90.00
loop_
_space_group_symop_operation_xyz
'x,y,z'
loop_
_atom_site_label
_atom_site_fract_x
_atom_site_fract_y
_atom_site_fract_z
Al1 0.000 0.500 0.244
Al2 0.500 0.000 0.756
Li1 0.000 0.000 0.000
Nb1 0.500 0.000 0.245
Nb2 0.000 0.500 0.755
Os1 0.500 0.500 0.000
Os2 0.000 0.000 0.500
Zn1 0.500 0.500 0.500
# density = 9.62 g/cm³
# energy = -0.5144 Ry per atom

11.
# PBE ErScInNi2, relaxed
data_ErScInNi2
_chemical_formula_sum 'Er1 Sc1 In1 Ni2'
_space_group_name_H-M_alt 'P 1'
_space_group_IT_number 1
_cell_length_a 3.522
_cell_length_b 7.262
_cell_length_c 7.262
_cell_angle_alpha 30.45
_cell_angle_beta 90.00
_cell_angle_gamma 90.00
loop_
_space_group_symop_operation_xyz
'x,y,z'
loop_
_atom_site_label
_atom_site_fract_x
_atom_site_fract_y
_atom_site_fract_z
Er1 0.000 0.361 0.361
In1 0.500 0.004 0.004
Ni1 0.500 0.195 0.195
Ni2 0.500 0.800 0.800
Sc1 0.000 0.640 0.640
# density = 7.84 g/cm³
# energy = -0.4032 Ry per atom

12.
# PBE GaCu2Bi, relaxed
data_GaCu2Bi
_chemical_formula_sum 'Ga4 Cu8 Bi4'
_space_group_name_H-M_alt 'P 1'
_space_group_IT_number 1
_cell_length_a 6.610
_cell_length_b 6.610
_cell_length_c 6.610
_cell_angle_alpha 90.00
_cell_angle_beta 90.00
_cell_angle_gamma 90.00
loop_
_space_group_symop_operation_xyz
'x,y,z'
loop_
_atom_site_label
_atom_site_fract_x
_atom_site_fract_y
_atom_site_fract_z
Bi1 0.500 0.500 0.000
Bi2 0.500 0.000 0.500
Bi3 0.000 0.500 0.500
Bi4 0.500 0.500 0.500
Cu1 0.214 0.214 0.214
Cu2 0.786 0.214 0.214
Cu3 0.214 0.786 0.214
Cu4 0.786 0.786 0.214
Cu5 0.214 0.214 0.786
Cu6 0.786 0.214 0.786
Cu7 0.214 0.786 0.786
Cu8 0.786 0.786 0.786
Ga1 0.000 0.000 0.000
Ga2 0.500 0.000 0.000
Ga3 0.000 0.500 0.000
Ga4 0.000 0.000 0.500
# density = 9.33 g/cm³
# energy = -0.2545 Ry per atom